i:
This record from Alexandria via LeMat-Bulk describes an optimized crystal structure of ScTeAsI2. The functional is GGA-PBE.

a b c (Å): 5.506 5.506 5.738
angles (deg): 90.00 90.00 90.00
Space group P4/mmm (No. 123)
Asymmetric unit:
Sc 0.000 0.000 0.000 (multiplicity 1)
Te 0.500 0.500 0.000 (multiplicity 1)
As 0.500 0.500 0.500 (multiplicity 1)
I 0.000 0.500 0.500 (multiplicity 2)

---

ii:
This record from Alexandria via LeMat-Bulk describes an optimized crystal structure of ScTeAsI2. The functional is GGA-PBE.

a b c (Å): 5.609 5.609 5.881
angles (deg): 90.00 90.00 90.00
Space group P4/mmm (No. 123)
Asymmetric unit:
Sc 0.000 0.000 0.000 (multiplicity 1)
Te 0.000 0.000 0.500 (multiplicity 1)
As 0.500 0.500 0.500 (multiplicity 1)
I 0.000 0.500 0.000 (multiplicity 2)

---

Winner for stability: ii

---

i:
This record from Alexandria via LeMat-Bulk describes an optimized crystal structure of SiAsSe2I. The functional is GGA-PBE.

a b c (Å): 5.312 5.312 5.428
angles (deg): 90.00 90.00 90.00
Space group P4/mmm (No. 123)
Asymmetric unit:
Si 0.000 0.000 0.000 (multiplicity 1)
As 0.500 0.500 0.000 (multiplicity 1)
Se 0.000 0.500 0.500 (multiplicity 2)
I 0.500 0.500 0.500 (multiplicity 1)

---

ii:
This record from Alexandria via LeMat-Bulk describes an optimized crystal structure of SiAsSe2I. The functional is GGA-PBE.

a b c (Å): 4.730 4.730 5.453
angles (deg): 90.00 90.00 90.00
Space group P4/mmm (No. 123)
Asymmetric unit:
Si 0.000 0.000 0.000 (multiplicity 1)
As 0.000 0.000 0.500 (multiplicity 1)
Se 0.000 0.500 0.000 (multiplicity 2)
I 0.500 0.500 0.500 (multiplicity 1)

---

Winner for stability: ii

---

i:
This record from Alexandria via LeMat-Bulk describes an optimized crystal structure of Te2AsSeI. The functional is GGA-PBE.

a b c (Å): 5.550 5.550 5.544
angles (deg): 90.00 90.00 90.00
Space group P4/mmm (No. 123)
Asymmetric unit:
Te 0.000 0.500 0.000 (multiplicity 2)
As 0.000 0.000 0.500 (multiplicity 1)
Se 0.500 0.500 0.000 (multiplicity 1)
I 0.500 0.500 0.500 (multiplicity 1)

---

ii:
This record from Alexandria via LeMat-Bulk describes an optimized crystal structure of Te2AsSeI. The functional is GGA-PBE.

a b c (Å): 5.522 5.522 5.398
angles (deg): 90.00 90.00 90.00
Space group P4/mmm (No. 123)
Asymmetric unit:
Te 0.000 0.500 0.000 (multiplicity 2)
As 0.000 0.000 0.000 (multiplicity 1)
Se 0.500 0.500 0.500 (multiplicity 1)
I 0.000 0.000 0.500 (multiplicity 1)

---

Winner for stability: ii

---

i:
This record from Alexandria via LeMat-Bulk describes an optimized crystal structure of As2WSeI. The functional is GGA-PBE.

a b c (Å): 5.047 5.047 4.824
angles (deg): 90.00 90.00 90.00
Space group P4/mmm (No. 123)
Asymmetric unit:
As 0.000 0.500 0.000 (multiplicity 2)
W 0.000 0.000 0.000 (multiplicity 1)
Se 0.000 0.000 0.500 (multiplicity 1)
I 0.500 0.500 0.500 (multiplicity 1)

---

ii:
This record from Alexandria via LeMat-Bulk describes an optimized crystal structure of As2WSeI. The functional is GGA-PBE.

a b c (Å): 5.307 5.307 5.182
angles (deg): 90.00 90.00 90.00
Space group P4/mmm (No. 123)
Asymmetric unit:
As 0.000 0.500 0.000 (multiplicity 2)
W 0.000 0.000 0.500 (multiplicity 1)
Se 0.500 0.500 0.500 (multiplicity 1)
I 0.500 0.500 0.000 (multiplicity 1)

---

Winner for stability: i

---

i:
This record from Alexandria via LeMat-Bulk describes an optimized crystal structure of ZnAsSe2I. The functional is GGA-PBE.

a b c (Å): 4.926 4.926 5.122
angles (deg): 90.00 90.00 90.00
Space group P4/mmm (No. 123)
Asymmetric unit:
Zn 0.000 0.000 0.000 (multiplicity 1)
As 0.000 0.000 0.500 (multiplicity 1)
Se 0.000 0.500 0.000 (multiplicity 2)
I 0.500 0.500 0.500 (multiplicity 1)

---

ii:
This record from Alexandria via LeMat-Bulk describes an optimized crystal structure of ZnAsSe2I. The functional is GGA-PBE.

a b c (Å): 5.375 5.375 5.565
angles (deg): 90.00 90.00 90.00
Space group P4/mmm (No. 123)
Asymmetric unit:
Zn 0.000 0.000 0.000 (multiplicity 1)
As 0.500 0.500 0.000 (multiplicity 1)
Se 0.000 0.500 0.500 (multiplicity 2)
I 0.500 0.500 0.500 (multiplicity 1)

---

Winner for stability: i

---

i:
This record from Alexandria via LeMat-Bulk describes an optimized crystal structure of Si2AsI. The functional is GGA-PBE.

a b c (Å): 7.234 7.234 7.931
angles (deg): 90.00 90.00 90.00
Space group I-42d (No. 122)
Asymmetric unit:
Si 0.195 0.750 0.125 (multiplicity 8)
As 0.000 0.000 0.000 (multiplicity 4)
I 0.000 0.000 0.500 (multiplicity 4)

---

ii:
This record from Alexandria via LeMat-Bulk describes an optimized crystal structure of Si2AsI. The functional is GGA-PBE.

a b c (Å): 6.995 6.995 6.995
angles (deg): 90.00 90.00 90.00
Space group Fm-3m (No. 225)
Asymmetric unit:
Si 0.250 0.250 0.250 (multiplicity 8)
As 0.000 0.000 0.000 (multiplicity 4)
I 0.000 0.000 0.500 (multiplicity 4)

---

Winner for stability: i